This record from OQMD describes a geometry-optimized K6Co2O7 structure. The functional is PBE with a Hubbard U.

Summary:
Raw total energy   -140.85 eV for the cell shown

a b c (Å): 6.507 9.048 11.432
angles (deg): 90.00 127.10 90.00
Site moments in Bohr magnetons follow the coordinates.
Fractional positions:
K  0.844  0.296  0.711  0.00
K  0.684  0.025  0.439  0.01
K  0.201  0.150  0.069  0.00
K  0.201  0.350  0.569  0.00
K  0.844  0.204  0.211  0.00
K  0.684  0.475  0.939  0.01
K  0.799  0.850  0.931  0.00
K  0.156  0.796  0.789  0.00
K  0.799  0.650  0.431  0.00
K  0.316  0.525  0.061  0.01
K  0.156  0.704  0.289  0.00
K  0.316  0.975  0.561  0.01
O  0.680  0.335  0.353  0.41
O  0.680  0.165  0.853  0.41
O  0.500  0.500  0.500  0.40
O  0.129  0.094  0.688  0.44
O  0.871  0.594  0.812  0.44
O  0.500  0.000  0.000  0.40
O  0.871  0.906  0.312  0.44
O  0.129  0.406  0.188  0.44
O  0.353  0.197  0.427  0.43
O  0.320  0.665  0.647  0.41
O  0.647  0.697  0.073  0.43
O  0.647  0.803  0.573  0.43
O  0.320  0.835  0.147  0.41
O  0.353  0.303  0.927  0.43
Co  0.416  0.357  0.362  3.13
Co  0.584  0.857  0.138  3.13
Co  0.584  0.643  0.638  3.13
Co  0.416  0.143  0.862  3.13